## LaHf2P (PBE)

Data for a relaxed structure of LaHf2P.

Cell: 10.3539 10.3539 10.3539 Å, 156.02 156.02 34.17°
Fractional coordinates of all 8 atoms:
La (0.0000, 0.0000, 0.0000)
La (0.7500, 0.2500, 0.5000)
Hf (0.1522, 0.6250, 0.0272)
Hf (0.3750, 0.4022, 0.5272)
Hf (0.5978, 0.1250, 0.9728)
Hf (0.8750, 0.8478, 0.4728)
P (0.2500, 0.7500, 0.5000)
P (0.5000, 0.5000, 0.0000)

Results
**Electronic total energy**: -61.4 eV for the cell shown
**Symmetry**: I-42d (122)